1.
LaSm4Er2Tm: optimized geometry, GGA-PBE.

Cell and atoms, written as POSCAR:
```
LaSm4Er2Tm
1.0
6.826 -6.646 0.000
6.826 6.646 0.000
-3.433 0.000 5.923
La Sm Er Tm
2 8 4 2
Direct
0.000 0.500 0.000
0.500 0.000 0.500
0.248 0.251 0.497
0.249 0.751 0.501
0.249 0.751 0.999
0.251 0.248 0.997
0.749 0.752 0.003
0.751 0.249 0.001
0.751 0.249 0.499
0.752 0.749 0.503
0.000 0.500 0.500
0.500 0.000 0.000
0.500 0.500 0.000
0.500 0.500 0.500
0.000 0.000 0.000
0.000 0.000 0.500
```

Computed properties:
- Calculated volume: 33.587 A^3/atom
- Raw total energy: -4.2774 eV per atom
- Symmetry: C2/c, No. 15


2.
ZrCr2Pt: optimized geometry, GGA-PBE.

Cell and atoms, written as POSCAR:
```
ZrCr2Pt
1.0
3.054 0.000 0.000
0.000 4.533 0.000
-0.355 0.000 4.724
Zr Cr Pt
1 2 1
Direct
0.000 0.000 0.000
0.352 0.500 0.803
0.648 0.500 0.197
0.500 0.000 0.500
```

Computed properties:
- Calculated volume: 16.350 A^3/atom
- Raw total energy: -8.3864 eV per atom
- Symmetry: P2/m, No. 10